Material: LaBiAu
Method: DFT, GGA-PBE
State: optimized geometry

Structure (CIF):
```
data_LaBiAu
_chemical_formula_sum 'La2 Bi2 Au2'
_symmetry_space_group_name_H-M 'P 4/n m m'
_symmetry_Int_Tables_number 129
_cell_length_a 4.9611
_cell_length_b 4.9611
_cell_length_c 7.1816
_cell_angle_alpha 90.00
_cell_angle_beta 90.00
_cell_angle_gamma 90.00
loop_
_symmetry_equiv_pos_as_xyz
'x,y,z'
'-x,-y,-z'
'-y+1/2,x,z'
'y+1/2,-x,-z'
'-x+1/2,-y+1/2,z'
'x+1/2,y+1/2,-z'
'y,-x+1/2,z'
'-y,x+1/2,-z'
'x+1/2,-y,-z'
'-x+1/2,y,z'
'-y,-x,-z'
'y,x,z'
'-x,y+1/2,-z'
'x,-y+1/2,z'
'y+1/2,x+1/2,-z'
'-y+1/2,-x+1/2,z'
loop_
_atom_site_label
_atom_site_type_symbol
_atom_site_fract_x
_atom_site_fract_y
_atom_site_fract_z
_atom_site_occupancy
La1 La 0.2500 0.2500 0.2347 1
Bi1 Bi 0.2500 0.2500 0.7720 1
Au1 Au 0.2500 0.7500 0.5000 1
```

Output
Magnetization ... 0.00 μB/cell
DFT total energy ... -4.78 eV per atom
ΔE_f ... -751.8 meV per atom

***

Material: LaBi2Au2
Method: DFT, GGA-PBE
State: optimized geometry

Structure (CIF):
```
data_LaBi2Au2
_chemical_formula_sum 'La2 Bi4 Au4'
_symmetry_space_group_name_H-M 'P 4/m b m'
_symmetry_Int_Tables_number 127
_symmetry_space_group_name_Hall '-P 4 2ab'
_cell_length_a 8.0002
_cell_length_b 8.0002
_cell_length_c 4.1711
_cell_angle_alpha 90.00
_cell_angle_beta 90.00
_cell_angle_gamma 90.00
loop_
_atom_site_label
_atom_site_type_symbol
_atom_site_fract_x
_atom_site_fract_y
_atom_site_fract_z
_atom_site_occupancy
La1 La 0.0000 0.0000 0.0000 1
Bi1 Bi 0.1861 0.3139 0.5000 1
Au1 Au 0.1211 0.6211 0.0000 1
```

Output
Magnetization ... 0.00 μB/cell
DFT total energy ... -4.32 eV per atom
ΔE_f ... -475.9 meV per atom

***

Material: LaBi2Au2
Method: DFT, GGA-PBE
State: optimized geometry

Structure (CIF):
```
data_LaBi2Au2
_chemical_formula_sum 'La2 Bi4 Au4'
_symmetry_space_group_name_H-M 'I 4/m m m'
_symmetry_Int_Tables_number 139
_symmetry_space_group_name_Hall '-I 4 2'
_cell_length_a 4.7546
_cell_length_b 4.7546
_cell_length_c 12.4300
_cell_angle_alpha 90.00
_cell_angle_beta 90.00
_cell_angle_gamma 90.00
loop_
_atom_site_label
_atom_site_type_symbol
_atom_site_fract_x
_atom_site_fract_y
_atom_site_fract_z
_atom_site_occupancy
La1 La 0.0000 0.0000 0.0000 1
Bi1 Bi 0.0000 0.5000 0.2500 1
Au1 Au 0.0000 0.0000 0.3940 1
```

Output
Magnetization ... 0.00 μB/cell
DFT total energy ... -4.27 eV per atom
ΔE_f ... -424.7 meV per atom